Record 1
Density functional theory data (PBE) for crystalline Dy4Te3N2 at its relaxed geometry.

Cell: 7.280 7.280 10.603 Å, 127.08 127.08 32.50°
Fractional coordinates of all 9 atoms:
Te  0.900  0.900  0.740
Te  0.500  0.500  0.500
Te  0.100  0.100  0.260
Dy  0.627  0.627  0.873
Dy  0.211  0.211  0.662
Dy  0.789  0.789  0.338
Dy  0.373  0.373  0.127
N  0.211  0.211  0.866
N  0.789  0.789  0.134

Results
polymorph energy (0 for the lowest one) = 36.3 meV per atom
total energy = -6.4676 eV per atom

Record 2
Density functional theory data (PBE) for crystalline Dy4Te3N2 at its relaxed geometry.

Cell: 7.269 11.699 12.999 Å, 90.00 122.36 90.00°
Fractional coordinates of all 36 atoms:
Te  0.056  0.663  0.426
Te  0.722  0.845  0.100
Te  0.944  0.337  0.574
Te  0.859  0.515  0.106
Te  0.278  0.345  0.400
Te  0.722  0.655  0.600
Te  0.859  0.985  0.606
Te  0.278  0.155  0.900
Te  0.944  0.163  0.074
Te  0.056  0.837  0.926
Te  0.141  0.485  0.894
Te  0.141  0.015  0.394
Dy  0.562  0.157  0.389
Dy  0.795  0.086  0.816
Dy  0.438  0.657  0.111
Dy  0.725  0.857  0.364
Dy  0.438  0.843  0.611
Dy  0.636  0.399  0.666
Dy  0.795  0.414  0.316
Dy  0.275  0.357  0.136
Dy  0.364  0.899  0.834
Dy  0.275  0.143  0.636
Dy  0.205  0.586  0.684
Dy  0.205  0.914  0.184
Dy  0.364  0.601  0.334
Dy  0.636  0.101  0.166
Dy  0.562  0.343  0.889
Dy  0.725  0.643  0.864
N  0.481  0.991  0.729
N  0.519  0.491  0.771
N  0.519  0.009  0.271
N  0.587  0.258  0.247
N  0.481  0.509  0.229
N  0.413  0.758  0.253
N  0.413  0.742  0.753
N  0.587  0.242  0.747

Results
polymorph energy (0 for the lowest one) = 0.0 meV per atom
total energy = -6.5040 eV per atom

Record 3
Density functional theory data (PBE) for crystalline Dy3ThN4 at its relaxed geometry.

Cell: 6.077 6.077 3.520 Å, 90.00 90.00 109.35°
Fractional coordinates of all 8 atoms:
N  0.748  0.748  0.000
N  0.252  0.252  0.000
N  0.250  0.750  0.500
N  0.750  0.250  0.500
Th  0.000  0.000  0.500
Dy  0.500  0.500  0.500
Dy  0.500  0.000  0.000
Dy  0.000  0.500  0.000

Results
total energy = -8.4886 eV per atom

Record 4
Density functional theory data (PBE) for crystalline Dy3TmTl2N2 at its relaxed geometry.

Cell: 3.517 3.517 15.707 Å, 90.00 90.00 120.00°
Fractional coordinates of all 8 atoms:
Tm  0.000  0.000  0.917
Tl  0.667  0.333  0.752
Tl  0.000  0.000  0.249
N  0.333  0.667  0.997
N  0.333  0.667  0.501
Dy  0.000  0.000  0.585
Dy  0.667  0.333  0.084
Dy  0.667  0.333  0.416

Results
total energy = -5.9634 eV per atom

Record 5
Density functional theory data (PBE) for crystalline DyTmTlN at its relaxed geometry.

Cell: 3.503 3.503 15.636 Å, 90.00 90.00 120.00°
Fractional coordinates of all 8 atoms:
Dy  0.333  0.667  0.085
Dy  0.667  0.333  0.915
Tl  0.667  0.333  0.253
Tl  0.333  0.667  0.747
Tm  0.667  0.333  0.583
Tm  0.333  0.667  0.417
N  0.000  0.000  0.500
N  0.000  0.000  0.000

Results
total energy = -5.9568 eV per atom

Record 6
Density functional theory data (PBE) for crystalline DyTmTlN at its relaxed geometry.

Cell: 3.502 3.502 15.638 Å, 90.00 90.00 120.00°
Fractional coordinates of all 8 atoms:
Tm  0.333  0.667  0.835
Tm  0.333  0.667  0.165
Dy  0.000  0.000  0.667
Dy  0.000  0.000  0.333
Tl  0.333  0.667  0.500
Tl  0.000  0.000  0.000
N  0.667  0.333  0.755
N  0.667  0.333  0.245

Results
total energy = -5.9576 eV per atom

Record 7
Density functional theory data (PBE) for crystalline Dy2TmN3 at its relaxed geometry.

Cell: 3.438 3.438 8.416 Å, 90.00 90.00 120.00°
Fractional coordinates of all 6 atoms:
Dy  0.333  0.667  0.832
Dy  0.667  0.333  0.168
N  0.333  0.667  0.337
N  0.667  0.333  0.663
N  0.000  0.000  0.000
Tm  0.000  0.000  0.500

Results
total energy = -8.1855 eV per atom

Record 8
Density functional theory data (PBE) for crystalline DyY2N3 at its relaxed geometry.

Cell: 3.461 3.461 8.485 Å, 90.00 90.00 120.00°
Fractional coordinates of all 6 atoms:
N  0.667  0.333  0.666
N  0.000  0.000  0.000
N  0.333  0.667  0.334
Y  0.333  0.667  0.833
Y  0.667  0.333  0.167
Dy  0.000  0.000  0.500

Results
total energy = -8.7816 eV per atom